[1]
Material: CaCoSe2
Method: DFT, GGA-PBEsol
State: relaxed Values from VASP.

Output
Total magnetic moment (μB/f.u.): 1.00
Uncorrected formation energy (eV/atom): -0.847
Crystal system: trigonal
Space-group type: No. 166

```
&SYSTEM
  ibrav = 0, nat = 4, ntyp = 3
/
ATOMIC_SPECIES
Ca 40.08 Ca.upf
Co 58.93 Co.upf
Se 78.96 Se.upf
CELL_PARAMETERS angstrom
-3.727 -0.677 -0.472
-1.780 -2.527 2.240
-3.127 3.316 4.510
ATOMIC_POSITIONS crystal
Ca 0.500 0.500 0.500
Co 0.000 0.000 0.000
Se 0.269 0.269 0.192
Se 0.731 0.731 0.808
```


[2]
Material: CaCo2Se
Method: DFT, GGA-PBEsol
State: relaxed Values from VASP.

Output
Total magnetic moment (μB/f.u.): 3.27
Uncorrected formation energy (eV/atom): 0.127
Crystal system: tetragonal
Space-group type: No. 123

```
&SYSTEM
  ibrav = 0, nat = 4, ntyp = 3
/
ATOMIC_SPECIES
Ca 40.08 Ca.upf
Co 58.93 Co.upf
Se 78.96 Se.upf
CELL_PARAMETERS angstrom
3.824 0.000 0.000
0.000 3.824 0.000
0.000 0.000 4.359
ATOMIC_POSITIONS crystal
Ca 0.000 0.000 0.500
Co 0.000 0.500 0.000
Co 0.500 0.000 0.000
Se 0.500 0.500 0.500
```